1.
A plane-wave DFT calculation with PBE was carried out for a relaxed Mg2PbCl crystal.

Cell: 5.8800 5.8800 5.0794 Å, 89.39 89.39 34.84°
Fractional positions:
Cl: 0.2375 0.2375 0.0896
Pb: 0.4864 0.4864 0.5973
Mg: 0.7577 0.7577 0.7109
Mg: 0.0184 0.0184 0.1022

## Properties
electronic total energy = -0.09942 Ha/atom
magnetic moment = 0.000 μB per formula unit
mass density = 4.82 g/cm3
crystal system = monoclinic
Fermi-level density of states = 0.318 states/eV/atom
formation energy (no corrections) = -2.08 eV/f.u.
relative energy among the computed polymorphs = 0.16 eV per formula unit

2.
A plane-wave DFT calculation with PBE was carried out for a relaxed CuNi2Br crystal.

Cell: 7.0681 7.0681 7.0681 Å, 25.66 25.66 25.66°
Fractional positions:
Ni: 0.0037 0.0037 0.0037
Ni: 0.4963 0.4963 0.4963
Br: 0.2500 0.2500 0.2500
Cu: 0.7500 0.7500 0.7500

## Properties
electronic total energy = -0.14185 Ha/atom
magnetic moment = 0.000 μB per formula unit
mass density = 7.43 g/cm3
crystal system = trigonal
Fermi-level density of states = 0.678 states/eV/atom
formation energy (no corrections) = 1.89 eV/f.u.
relative energy among the computed polymorphs = 0.61 eV per formula unit

3.
A plane-wave DFT calculation with PBE was carried out for a relaxed BaTm3B4O12 crystal.

Cell: 6.5847 6.5847 6.5847 Å, 101.84 101.84 101.84°
Fractional positions:
Tm: 0.0000 0.5476 0.4524
Tm: 0.5476 0.4524 0.0000
Tm: 0.4524 0.0000 0.5476
O: 0.2061 0.3930 0.9778
O: 0.6070 0.7939 0.0222
O: 0.0884 0.9116 0.5000
O: 0.0222 0.6070 0.7939
O: 0.5000 0.0884 0.9116
O: 0.6361 0.5000 0.3639
O: 0.7939 0.0222 0.6070
O: 0.9116 0.5000 0.0884
O: 0.3930 0.9778 0.2061
O: 0.5000 0.3639 0.6361
O: 0.9778 0.2061 0.3930
O: 0.3639 0.6361 0.5000
B: 0.0482 0.5000 0.9518
B: 0.9518 0.0482 0.5000
B: 0.5000 0.9518 0.0482
B: 0.5000 0.5000 0.5000
Ba: 0.0000 0.0000 0.0000

## Properties
electronic total energy = -0.29501 Ha/atom
magnetic moment = 1.031 μB per formula unit
mass density = 5.53 g/cm3
crystal system = trigonal
Fermi-level density of states = 0.502 states/eV/atom
formation energy (no corrections) = -59.01 eV/f.u.

4.
A plane-wave DFT calculation with PBE was carried out for a relaxed PmHoCoGe crystal.

Cell: 4.9751 4.9751 4.9751 Å, 60.00 60.00 60.00°
Fractional positions:
Pm: 0.5000 0.5000 0.5000
Ho: 0.0000 0.0000 0.0000
Ge: 0.7500 0.7500 0.7500
Co: 0.2500 0.2500 0.2500

## Properties
electronic total energy = -0.20636 Ha/atom
magnetic moment = 0.779 μB per formula unit
mass density = 8.42 g/cm3
DFT formation energy = -0.35 eV per atom
crystal system = cubic
Fermi-level density of states = 0.463 states/eV/atom

5.
A plane-wave DFT calculation with PBE was carried out for a relaxed TmMgH crystal.

Cell: 3.5031 3.5031 5.6643 Å, 90.00 90.00 120.00°
Fractional positions:
Mg: 0.0000 0.0000 0.9756
Tm: 0.6667 0.3333 0.4726
H: 0.3333 0.6667 0.5518

## Properties
electronic total energy = -0.12092 Ha/atom
magnetic moment = 0.000 μB per formula unit
mass density = 5.36 g/cm3
crystal system = trigonal
Fermi-level density of states = 0.760 states/eV/atom

6.
A plane-wave DFT calculation with PBE was carried out for a relaxed BaSrS2 crystal.

Cell: 9.0550 9.0550 9.0550 Å, 30.99 30.99 30.99°
Fractional positions:
Sr: 0.0000 0.0000 0.0000
S: 0.8959 0.8959 0.8959
S: 0.1041 0.1041 0.1041
Ba: 0.5000 0.5000 0.5000

## Properties
electronic total energy = -0.15962 Ha/atom
magnetic moment = 0.000 μB per formula unit
mass density = 2.75 g/cm3
crystal system = trigonal
Fermi-level density of states = 0.259 states/eV/atom
formation energy (no corrections) = -5.51 eV/f.u.
relative energy among the computed polymorphs = 2.90 eV per formula unit

Which of these has the highest Fermi-level density of states? TmMgH

Among the records above, which one has the lowest mass density? BaSrS2